# 1
Entry from Alexandria: crystalline Mg2TiPd2 at its relaxed geometry (GGA-PBE).

Unit cell a=6.735 b=6.735 c=3.938 alpha=90.00 beta=90.00 gamma=90.00
Atoms (fractional coordinates):
Mg1 0.163 0.337 0.000
Mg2 0.337 0.837 0.000
Mg3 0.663 0.163 0.000
Mg4 0.837 0.663 0.000
Ti1 0.000 0.000 0.500
Ti2 0.500 0.500 0.500
Pd1 0.141 0.641 0.500
Pd2 0.359 0.141 0.500
Pd3 0.641 0.859 0.500
Pd4 0.859 0.359 0.500

ΔE_f = -420 meV/atom
Spin magnetization = 0.0 μB/cell
Energy relative to the lowest polymorph listed for this composition = 0 meV/atom
V = 17.9 Å³/atom
Electronic total energy = -47.14 eV/cell
Mass density = 5.75 g/cm³



# 2
Entry from Alexandria: crystalline CaMgB3 at its relaxed geometry (GGA-PBE).

Unit cell a=4.357 b=4.357 c=4.357 alpha=90.00 beta=90.00 gamma=90.00
Atoms (fractional coordinates):
Ca1 0.000 0.000 0.000
Mg1 0.500 0.500 0.500
B1 0.000 0.500 0.500
B2 0.500 0.000 0.500
B3 0.500 0.500 0.000

ΔE_f = 1540 meV/atom
Spin magnetization = 0.0 μB/cell
Energy relative to the lowest polymorph listed for this composition = 0 meV/atom
V = 16.5 Å³/atom
Electronic total energy = -15.93 eV/cell
Mass density = 1.94 g/cm³



# 3
Entry from Alexandria: crystalline Y5GeS4 at its relaxed geometry (GGA-PBE).

Unit cell a=6.889 b=6.889 c=6.889 alpha=99.54 beta=99.54 gamma=131.94
Atoms (fractional coordinates):
Y1 0.000 0.000 0.000
Y2 0.200 0.600 0.800
Y3 0.400 0.200 0.600
Y4 0.600 0.800 0.400
Y5 0.800 0.400 0.200
Ge1 0.500 0.500 0.000
S1 0.100 0.302 0.402
S2 0.302 0.900 0.201
S3 0.698 0.100 0.799
S4 0.900 0.698 0.598

Formation energy without anion corrections = -1.826 eV/atom
Spin magnetization = 0.0 μB/cell
V = 22.2 Å³/atom
Electronic total energy = -71.71 eV/cell
Mass density = 4.83 g/cm³



# 4
Entry from Alexandria: crystalline TmPu4Th at its relaxed geometry (GGA-PBE).

Unit cell a=6.140 b=6.140 c=6.140 alpha=60.00 beta=60.00 gamma=60.00
Atoms (fractional coordinates):
Tm1 0.000 0.000 0.000
Pu1 0.126 0.625 0.625
Pu2 0.625 0.126 0.625
Pu3 0.625 0.625 0.126
Pu4 0.625 0.625 0.625
Th1 0.250 0.250 0.250

ΔE_f = 206 meV/atom
Spin magnetization = 22.5 μB/cell
V = 27.3 Å³/atom
Electronic total energy = -67.99 eV/cell
Mass density = 13.97 g/cm³



# 5
Entry from Alexandria: crystalline Co2TcW at its relaxed geometry (GGA-PBE).

Unit cell a=4.553 b=4.550 c=3.740 alpha=65.78 beta=65.70 gamma=48.53
Atoms (fractional coordinates):
Co1 0.000 0.000 0.000
Co2 0.250 0.250 0.250
Tc1 0.750 0.750 0.750
W1 0.500 0.500 0.500

ΔE_f = 95 meV/atom
Spin magnetization = 0.9 μB/cell
Energy relative to the lowest polymorph listed for this composition = 123 meV/atom
V = 13.0 Å³/atom
Electronic total energy = -37.15 eV/cell
Mass density = 12.81 g/cm³



# 6
Entry from Alexandria: crystalline Ac7PrNd4 at its relaxed geometry (GGA-PBE).

Unit cell a=9.192 b=9.192 c=10.539 alpha=118.58 beta=118.58 gamma=41.19
Atoms (fractional coordinates):
Ac1 0.000 0.000 0.000
Ac2 0.268 0.268 0.738
Ac3 0.296 0.296 0.122
Ac4 0.414 0.414 0.555
Ac5 0.586 0.586 0.445
Ac6 0.704 0.704 0.878
Ac7 0.732 0.732 0.262
Pr1 0.500 0.500 0.000
Nd1 0.057 0.057 0.701
Nd2 0.169 0.169 0.356
Nd3 0.831 0.831 0.644
Nd4 0.943 0.943 0.299

ΔE_f = 226 meV/atom
Spin magnetization = 0.0 μB/cell
Energy relative to the lowest polymorph listed for this composition = 196 meV/atom
V = 42.0 Å³/atom
Electronic total energy = -49.90 eV/cell
Mass density = 7.60 g/cm³



# 7
Entry from Alexandria: crystalline Ba4AcPa3N8 at its relaxed geometry (GGA-PBE).

Unit cell a=7.756 b=7.756 c=7.756 alpha=57.37 beta=57.37 gamma=57.37
Atoms (fractional coordinates):
Ba1 0.000 0.000 0.000
Ba2 0.000 0.500 0.500
Ba3 0.500 0.000 0.500
Ba4 0.500 0.500 0.000
Ac1 0.500 0.500 0.500
Pa1 0.000 0.000 0.500
Pa2 0.000 0.500 0.000
Pa3 0.500 0.000 0.000
N1 0.190 0.743 0.743
N2 0.226 0.226 0.226
N3 0.257 0.257 0.810
N4 0.257 0.810 0.257
N5 0.743 0.190 0.743
N6 0.743 0.743 0.190
N7 0.774 0.774 0.774
N8 0.810 0.257 0.257

Formation energy without anion corrections = -1.178 eV/atom
Spin magnetization = 0.6 μB/cell
V = 19.4 Å³/atom
Electronic total energy = -125.74 eV/cell
Mass density = 8.47 g/cm³



# 8
Entry from Alexandria: crystalline Pa3Ga3Tc2 at its relaxed geometry (GGA-PBE).

Unit cell a=8.810 b=14.668 c=5.067 alpha=90.00 beta=90.00 gamma=90.00
Atoms (fractional coordinates):
Pa1 0.031 0.117 0.103
Pa2 0.031 0.383 0.103
Pa3 0.165 0.250 0.589
Pa4 0.335 0.750 0.089
Pa5 0.469 0.617 0.603
Pa6 0.469 0.883 0.603
Pa7 0.531 0.117 0.397
Pa8 0.531 0.383 0.397
Pa9 0.665 0.250 0.911
Pa10 0.835 0.750 0.411
Pa11 0.969 0.617 0.897
Pa12 0.969 0.883 0.897
Ga1 0.168 0.750 0.583
Ga2 0.216 0.036 0.598
Ga3 0.216 0.464 0.598
Ga4 0.284 0.536 0.098
Ga5 0.284 0.964 0.098
Ga6 0.332 0.250 0.083
Ga7 0.668 0.750 0.917
Ga8 0.716 0.036 0.902
Ga9 0.716 0.464 0.902
Ga10 0.784 0.536 0.402
Ga11 0.784 0.964 0.402
Ga12 0.832 0.250 0.417
Tc1 0.054 0.595 0.374
Tc2 0.054 0.905 0.374
Tc3 0.446 0.095 0.874
Tc4 0.446 0.405 0.874
Tc5 0.554 0.595 0.126
Tc6 0.554 0.905 0.126
Tc7 0.946 0.095 0.626
Tc8 0.946 0.405 0.626

ΔE_f = -332 meV/atom
Spin magnetization = 0.0 μB/cell
Energy relative to the lowest polymorph listed for this composition = 32 meV/atom
V = 20.5 Å³/atom
Electronic total energy = -243.83 eV/cell
Mass density = 11.14 g/cm³